VASP calculation (GGA-PBEsol) on a relaxed Na2LiInF6 crystal.

CIF file:
```
data_Na2LiInF6
_space_group_name_H-M_alt 'P 1'
_space_group_IT_number 1
_space_group_name_Hall 'P 1'
_cell_length_a 5.688
_cell_length_b 5.688
_cell_length_c 5.688
_cell_angle_alpha 60.00
_cell_angle_beta 60.00
_cell_angle_gamma 60.00
loop_
_atom_site_label
_atom_site_type_symbol
_atom_site_fract_x
_atom_site_fract_y
_atom_site_fract_z
_atom_site_occupancy
Na1 Na 0.250 0.250 0.250 1
Na2 Na 0.750 0.750 0.750 1
Li1 Li 0.000 0.000 0.000 1
In1 In 0.500 0.500 0.500 1
F1 F 0.244 0.244 0.756 1
F2 F 0.244 0.756 0.244 1
F3 F 0.244 0.756 0.756 1
F4 F 0.756 0.244 0.244 1
F5 F 0.756 0.244 0.756 1
F6 F 0.756 0.756 0.244 1
```

Properties
SG   Fm-3m
Energy   -0.1683 hartree per atom
Density of states at the Fermi level   0.000 states/eV per atom



VASP calculation (GGA-PBEsol) on a relaxed LiInOF2 crystal.

CIF file:
```
data_LiInOF2
_space_group_name_H-M_alt 'P 1'
_space_group_IT_number 1
_space_group_name_Hall 'P 1'
_cell_length_a 4.277
_cell_length_b 4.277
_cell_length_c 3.988
_cell_angle_alpha 90.00
_cell_angle_beta 90.00
_cell_angle_gamma 90.00
loop_
_atom_site_label
_atom_site_type_symbol
_atom_site_fract_x
_atom_site_fract_y
_atom_site_fract_z
_atom_site_occupancy
Li1 Li 0.000 0.000 0.000 1
In1 In 0.500 0.500 0.500 1
O1 O 0.500 0.500 0.000 1
F1 F 0.000 0.500 0.500 1
F2 F 0.500 0.000 0.500 1
```

Properties
SG   P4/mmm
Energy   -0.1759 hartree per atom
Density of states at the Fermi level   0.000 states/eV per atom



VASP calculation (GGA-PBEsol) on a relaxed Rb2LiInF6 crystal.

CIF file:
```
data_Rb2LiInF6
_space_group_name_H-M_alt 'P 1'
_space_group_IT_number 1
_space_group_name_Hall 'P 1'
_cell_length_a 5.919
_cell_length_b 5.919
_cell_length_c 5.919
_cell_angle_alpha 60.00
_cell_angle_beta 60.00
_cell_angle_gamma 60.00
loop_
_atom_site_label
_atom_site_type_symbol
_atom_site_fract_x
_atom_site_fract_y
_atom_site_fract_z
_atom_site_occupancy
Rb1 Rb 0.250 0.250 0.250 1
Rb2 Rb 0.750 0.750 0.750 1
Li1 Li 0.000 0.000 0.000 1
In1 In 0.500 0.500 0.500 1
F1 F 0.250 0.250 0.750 1
F2 F 0.250 0.750 0.250 1
F3 F 0.250 0.750 0.750 1
F4 F 0.750 0.250 0.250 1
F5 F 0.750 0.250 0.750 1
F6 F 0.750 0.750 0.250 1
```

Properties
SG   Fm-3m
Energy   -0.1704 hartree per atom
Density of states at the Fermi level   0.000 states/eV per atom



VASP calculation (GGA-PBEsol) on a relaxed Li4ZnIn2F12 crystal.

CIF file:
```
data_Li4ZnIn2F12
_space_group_name_H-M_alt 'P 1'
_space_group_IT_number 1
_space_group_name_Hall 'P 1'
_cell_length_a 4.986
_cell_length_b 4.772
_cell_length_c 17.772
_cell_angle_alpha 90.00
_cell_angle_beta 90.00
_cell_angle_gamma 90.00
loop_
_atom_site_label
_atom_site_type_symbol
_atom_site_fract_x
_atom_site_fract_y
_atom_site_fract_z
_atom_site_occupancy
Li1 Li 0.000 0.000 0.000 1
Li2 Li 0.000 0.000 0.154 1
Li3 Li 0.000 0.000 0.481 1
Li4 Li 0.000 0.500 0.500 1
Li5 Li 0.000 0.500 0.654 1
Li6 Li 0.000 0.500 0.981 1
Li7 Li 0.500 0.000 0.412 1
Li8 Li 0.500 0.500 0.912 1
Zn1 Zn 0.500 0.000 0.247 1
Zn2 Zn 0.500 0.500 0.747 1
In1 In 0.000 0.000 0.826 1
In2 In 0.000 0.500 0.326 1
In3 In 0.500 0.000 0.586 1
In4 In 0.500 0.500 0.086 1
F1 F 0.161 0.234 0.915 1
F2 F 0.161 0.266 0.415 1
F3 F 0.162 0.242 0.075 1
F4 F 0.162 0.258 0.575 1
F5 F 0.169 0.243 0.243 1
F6 F 0.169 0.257 0.743 1
F7 F 0.311 0.709 0.996 1
F8 F 0.311 0.791 0.496 1
F9 F 0.326 0.733 0.665 1
F10 F 0.326 0.767 0.165 1
F11 F 0.335 0.731 0.830 1
F12 F 0.335 0.769 0.330 1
F13 F 0.665 0.231 0.330 1
F14 F 0.665 0.269 0.830 1
F15 F 0.674 0.233 0.165 1
F16 F 0.674 0.267 0.665 1
F17 F 0.689 0.209 0.496 1
F18 F 0.689 0.291 0.996 1
F19 F 0.831 0.743 0.743 1
F20 F 0.831 0.757 0.243 1
F21 F 0.838 0.742 0.575 1
F22 F 0.838 0.758 0.075 1
F23 F 0.839 0.734 0.415 1
F24 F 0.839 0.766 0.915 1
```

Properties
SG   Pnc2
Energy   -0.1730 hartree per atom
Density of states at the Fermi level   0.000 states/eV per atom



no.,ΔE_f (raw) (meV per atom)
1,-2649.0
2,-1976.9
3,-2780.7
4,-2679.4